This record from Alexandria via LeMat-Bulk describes an optimized crystal structure of BaSr5Cd. The functional is GGA-PBE.

a = 5.8498 Å, b = 5.8498 Å, c = 10.5494 Å
α = 90.00°, β = 90.00°, γ = 90.00°
Space group P4/mmm (No. 123)
Unique sites:
Ba  0.0000  0.0000  0.0000 [1 per cell]
Sr  0.0000  0.5000  0.3121 [4 per cell]
Sr  0.5000  0.5000  0.0000 [1 per cell]
Cd  0.0000  0.0000  0.5000 [1 per cell]

Results
energy relative to the lowest polymorph listed for this composition: 0 meV per atom
mass density: 3.164 Mg/m³
M_tot: 0.00 Bohr magnetons per cell
DOS(E_F): 10.9 states/eV/f.u.

This record from Alexandria via LeMat-Bulk describes an optimized crystal structure of CoPPd3. The functional is GGA-PBE.

a = 4.5441 Å, b = 4.5441 Å, c = 4.5441 Å
α = 90.00°, β = 90.00°, γ = 90.00°
Space group Pm-3m (No. 221)
Unique sites:
Co  0.0000  0.0000  0.0000 [1 per cell]
P  0.5000  0.5000  0.5000 [1 per cell]
Pd  0.0000  0.0000  0.5000 [3 per cell]

Results
energy relative to the lowest polymorph listed for this composition: 728 meV per atom
mass density: 7.241 Mg/m³
M_tot: 3.34 Bohr magnetons per cell
DOS(E_F): 5.2 states/eV/f.u.

This record from Alexandria via LeMat-Bulk describes an optimized crystal structure of CsRb15. The functional is GGA-PBE.

a = 10.1314 Å, b = 10.1314 Å, c = 16.3237 Å
α = 90.00°, β = 90.00°, γ = 120.00°
Space group P-6m2 (No. 187)
Unique sites:
Cs  0.0000  0.0000  0.0000 [1 per cell]
Rb  0.0000  0.0000  0.5000 [1 per cell]
Rb  0.0011  0.5005  0.5000 [3 per cell]
Rb  0.3333  0.6667  0.2487 [2 per cell]
Rb  0.3360  0.1680  0.2535 [6 per cell]
Rb  0.5007  0.0014  0.0000 [3 per cell]

Results
mass density: 1.619 Mg/m³
electronic total energy: -0.956 eV/atom
M_tot: 0.00 Bohr magnetons per cell
DOS(E_F): 15.1 states/eV/f.u.

This record from Alexandria via LeMat-Bulk describes an optimized crystal structure of BaNaAs. The functional is GGA-PBE.

a = 9.1223 Å, b = 5.2631 Å, c = 9.9482 Å
α = 90.00°, β = 107.51°, γ = 90.00°
Space group C2 (No. 5)
Unique sites:
Ba  0.0000  0.0000  0.0000 [2 per cell]
Ba  0.0000  0.4974  0.5000 [2 per cell]
Na  0.2298  0.5001  0.1912 [4 per cell]
As  0.1104  0.5000  0.8288 [4 per cell]

Results
mass density: 3.430 Mg/m³
electronic total energy: -3.210 eV/atom
M_tot: 0.01 Bohr magnetons per cell
DOS(E_F): 2.5 states/eV/f.u.

This record from Alexandria via LeMat-Bulk describes an optimized crystal structure of YSbI2N. The functional is GGA-PBE.

a = 6.2089 Å, b = 6.2089 Å, c = 4.0811 Å
α = 90.00°, β = 90.00°, γ = 90.00°
Space group P4/mmm (No. 123)
Unique sites:
Y  0.0000  0.0000  0.0000 [1 per cell]
Sb  0.5000  0.5000  0.5000 [1 per cell]
I  0.0000  0.5000  0.0000 [2 per cell]
N  0.0000  0.0000  0.5000 [1 per cell]

Results
energy relative to the lowest polymorph listed for this composition: 0 meV per atom
mass density: 5.050 Mg/m³
M_tot: 0.00 Bohr magnetons per cell
E_form (uncorrected): 0.078 eV per atom
DOS(E_F): 4.9 states/eV/f.u.

This record from Alexandria via LeMat-Bulk describes an optimized crystal structure of Zr2UPd. The functional is GGA-PBE.

a = 3.0670 Å, b = 3.0670 Å, c = 8.7433 Å
α = 90.00°, β = 90.00°, γ = 90.00°
Space group P4/mmm (No. 123)
Unique sites:
Zr  0.0000  0.0000  0.2241 [2 per cell]
U  0.5000  0.5000  0.5000 [1 per cell]
Pd  0.5000  0.5000  0.0000 [1 per cell]

Results
energy relative to the lowest polymorph listed for this composition: 0 meV per atom
mass density: 10.638 Mg/m³
M_tot: 0.00 Bohr magnetons per cell
DOS(E_F): 6.6 states/eV/f.u.

This record from Alexandria via LeMat-Bulk describes an optimized crystal structure of CsMn3Ge. The functional is GGA-PBE.

a = 5.0754 Å, b = 5.0754 Å, c = 5.0754 Å
α = 90.00°, β = 90.00°, γ = 90.00°
Space group Pm-3m (No. 221)
Unique sites:
Cs  0.0000  0.0000  0.0000 [1 per cell]
Mn  0.0000  0.0000  0.5000 [3 per cell]
Ge  0.5000  0.5000  0.5000 [1 per cell]

Results
mass density: 4.704 Mg/m³
electronic total energy: -4.239 eV/atom
M_tot: 11.04 Bohr magnetons per cell
DOS(E_F): 4.8 states/eV/f.u.

This record from Alexandria via LeMat-Bulk describes an optimized crystal structure of AlCoRe. The functional is GGA-PBE.

a = 4.1330 Å, b = 4.1330 Å, c = 2.6501 Å
α = 90.00°, β = 90.00°, γ = 120.00°
Space group P-6m2 (No. 187)
Unique sites:
Al  0.0000  0.0000  0.0000 [1 per cell]
Co  0.3333  0.6667  0.0000 [1 per cell]
Re  0.6667  0.3333  0.5000 [1 per cell]

Results
energy relative to the lowest polymorph listed for this composition: 141 meV per atom
mass density: 11.526 Mg/m³
M_tot: 0.00 Bohr magnetons per cell
DOS(E_F): 3.0 states/eV/f.u.

This record from Alexandria via LeMat-Bulk describes an optimized crystal structure of Cd2TcHg. The functional is GGA-PBE.

a = 2.8803 Å, b = 4.8382 Å, c = 12.8224 Å
α = 90.00°, β = 90.00°, γ = 90.00°
Space group Imm2 (No. 44)
Unique sites:
Cd  0.0000  0.0000  0.0000 [2 per cell]
Cd  0.0000  0.5000  0.1786 [2 per cell]
Tc  0.0000  0.0000  0.4889 [2 per cell]
Hg  0.0000  0.5000  0.7993 [2 per cell]

Results
mass density: 9.728 Mg/m³
electronic total energy: -2.691 eV/atom
M_tot: 0.65 Bohr magnetons per cell
DOS(E_F): 4.2 states/eV/f.u.

This record from Alexandria via LeMat-Bulk describes an optimized crystal structure of Dy2Ga3Au. The functional is GGA-PBE.

a = 7.3482 Å, b = 8.8541 Å, c = 15.4237 Å
α = 90.00°, β = 90.00°, γ = 90.00°
Space group Fmmm (No. 69)
Unique sites:
Dy  0.2427  0.0000  0.0000 [8 per cell]
Dy  0.2500  0.2500  0.2500 [8 per cell]
Ga  0.0000  0.0000  0.3372 [8 per cell]
Ga  0.0000  0.2473  0.4179 [16 per cell]
Au  0.0000  0.0000  0.1692 [8 per cell]

Results
energy relative to the lowest polymorph listed for this composition: 2 meV per atom
mass density: 9.679 Mg/m³
M_tot: 0.00 Bohr magnetons per cell
DOS(E_F): 3.2 states/eV/f.u.

This record from Alexandria via LeMat-Bulk describes an optimized crystal structure of Ac7Ga2Ge2. The functional is GGA-PBE.

a = 8.5946 Å, b = 11.8555 Å, c = 7.8460 Å
α = 90.00°, β = 90.00°, γ = 90.00°
Space group Cmmm (No. 65)
Unique sites:
Ac  0.0000  0.0000  0.0000 [2 per cell]
Ac  0.0000  0.5000  0.2567 [4 per cell]
Ac  0.2500  0.2500  0.2810 [8 per cell]
Ga  0.1571  0.0000  0.5000 [4 per cell]
Ge  0.0000  0.2826  0.0000 [4 per cell]

Results
mass density: 7.784 Mg/m³
electronic total energy: -4.255 eV/atom
M_tot: 0.00 Bohr magnetons per cell
DOS(E_F): 14.1 states/eV/f.u.

This record from Alexandria via LeMat-Bulk describes an optimized crystal structure of AcPmSiCl. The functional is GGA-PBE.

a = 7.4707 Å, b = 7.4707 Å, c = 7.4707 Å
α = 90.00°, β = 90.00°, γ = 90.00°
Space group F-43m (No. 216)
Unique sites:
Ac  0.0000  0.0000  0.0000 [4 per cell]
Pm  0.0000  0.0000  0.5000 [4 per cell]
Si  0.2500  0.2500  0.2500 [4 per cell]
Cl  0.2500  0.2500  0.7500 [4 per cell]

Results
energy relative to the lowest polymorph listed for this composition: 143 meV per atom
mass density: 6.938 Mg/m³
M_tot: 0.00 Bohr magnetons per cell
E_form (uncorrected): -0.966 eV per atom
DOS(E_F): 2.3 states/eV/f.u.

This record from Alexandria via LeMat-Bulk describes an optimized crystal structure of LiTcP2. The functional is GGA-PBE.

a = 5.7282 Å, b = 5.7282 Å, c = 10.4424 Å
α = 90.00°, β = 90.00°, γ = 90.00°
Space group I-42d (No. 122)
Unique sites:
Li  0.0000  0.0000  0.0000 [4 per cell]
Tc  0.0000  0.0000  0.5000 [4 per cell]
P  0.2018  0.2500  0.6250 [8 per cell]

Results
energy relative to the lowest polymorph listed for this composition: 354 meV per atom
mass density: 3.235 Mg/m³
M_tot: 0.00 Bohr magnetons per cell
DOS(E_F): 1.4 states/eV/f.u.

This record from Alexandria via LeMat-Bulk describes an optimized crystal structure of Mn5In. The functional is GGA-PBE.

a = 4.2560 Å, b = 2.7443 Å, c = 13.8867 Å
α = 90.00°, β = 90.00°, γ = 90.00°
Space group Amm2 (No. 38)
Unique sites:
Mn  0.0000  0.0000  0.0000 [2 per cell]
Mn  0.0000  0.0000  0.2990 [2 per cell]
Mn  0.0000  0.0000  0.6453 [2 per cell]
Mn  0.5000  0.0000  0.1125 [2 per cell]
Mn  0.5000  0.0000  0.7532 [2 per cell]
In  0.5000  0.0000  0.4311 [2 per cell]

Results
energy relative to the lowest polymorph listed for this composition: 64 meV per atom
mass density: 7.976 Mg/m³
M_tot: 3.93 Bohr magnetons per cell
DOS(E_F): 5.4 states/eV/f.u.

This record from Alexandria via LeMat-Bulk describes an optimized crystal structure of Sc3HgO. The functional is GGA-PBE.

a = 18.6901 Å, b = 4.4408 Å, c = 4.4088 Å
α = 90.00°, β = 103.56°, γ = 90.00°
Space group C2/m (No. 12)
Unique sites:
Sc  0.0588  0.0000  0.3087 [4 per cell]
Sc  0.1798  0.0000  0.9297 [4 per cell]
Sc  0.1936  0.5000  0.4431 [4 per cell]
Hg  0.0648  0.5000  0.8151 [4 per cell]
O  0.1815  0.0000  0.4314 [4 per cell]

Results
energy relative to the lowest polymorph listed for this composition: 114 meV per atom
mass density: 6.563 Mg/m³
M_tot: 0.00 Bohr magnetons per cell
E_form (uncorrected): -1.379 eV per atom
DOS(E_F): 5.9 states/eV/f.u.

This record from Alexandria via LeMat-Bulk describes an optimized crystal structure of TaAg2HgSe4. The functional is GGA-PBE.

a = 9.0457 Å, b = 9.0515 Å, c = 11.2451 Å
α = 90.00°, β = 90.00°, γ = 90.00°
Space group Fmm2 (No. 42)
Unique sites:
Ta  0.0000  0.0000  0.0000 [4 per cell]
Ag  0.2500  0.2500  0.2501 [8 per cell]
Hg  0.0000  0.0000  0.5006 [4 per cell]
Se  0.0000  0.2204  0.1245 [8 per cell]
Se  0.2208  0.0000  0.8757 [8 per cell]

Results
mass density: 6.587 Mg/m³
M_tot: 0.00 Bohr magnetons per cell
E_form (uncorrected): -0.284 eV per atom
DOS(E_F): 2.3 states/eV/f.u.

This record from Alexandria via LeMat-Bulk describes an optimized crystal structure of TaTiO2. The functional is GGA-PBE.

a = 5.4845 Å, b = 5.4845 Å, c = 5.4845 Å
α = 90.00°, β = 90.00°, γ = 90.00°
Space group Fm-3m (No. 225)
Unique sites:
Ta  0.0000  0.0000  0.0000 [4 per cell]
Ti  0.0000  0.0000  0.5000 [4 per cell]
O  0.2500  0.2500  0.2500 [8 per cell]

Results
energy relative to the lowest polymorph listed for this composition: 781 meV per atom
mass density: 10.501 Mg/m³
M_tot: 0.00 Bohr magnetons per cell
E_form (uncorrected): -1.241 eV per atom
DOS(E_F): 4.2 states/eV/f.u.

This record from Alexandria via LeMat-Bulk describes an optimized crystal structure of Nb3TlIr. The functional is GGA-PBE.

a = 4.8974 Å, b = 4.8974 Å, c = 4.8974 Å
α = 90.00°, β = 90.00°, γ = 90.00°
Space group Pm-3m (No. 221)
Unique sites:
Nb  0.0000  0.0000  0.5000 [3 per cell]
Tl  0.5000  0.5000  0.5000 [1 per cell]
Ir  0.0000  0.0000  0.0000 [1 per cell]

Results
energy relative to the lowest polymorph listed for this composition: 0 meV per atom
mass density: 9.547 Mg/m³
M_tot: 0.00 Bohr magnetons per cell
DOS(E_F): 7.7 states/eV/f.u.

This record from Alexandria via LeMat-Bulk describes an optimized crystal structure of RbY2Cu. The functional is GGA-PBE.

a = 8.3634 Å, b = 8.3634 Å, c = 12.0262 Å
α = 90.00°, β = 90.00°, γ = 90.00°
Space group I4_1/amd (No. 141, origin choice 2)
Unique sites:
Rb  0.0000  0.2500  0.3750 [4 per cell]
Y  0.0000  0.0000  0.0000 [8 per cell]
Cu  0.0000  0.2500  0.8750 [4 per cell]

Results
energy relative to the lowest polymorph listed for this composition: 56 meV per atom
mass density: 2.581 Mg/m³
M_tot: 0.00 Bohr magnetons per cell
DOS(E_F): 13.7 states/eV/f.u.

This record from Alexandria via LeMat-Bulk describes an optimized crystal structure of MnTl3B. The functional is GGA-PBE.

a = 5.1693 Å, b = 5.1693 Å, c = 5.1693 Å
α = 90.00°, β = 90.00°, γ = 90.00°
Space group Pm-3m (No. 221)
Unique sites:
Mn  0.0000  0.0000  0.0000 [1 per cell]
Tl  0.0000  0.0000  0.5000 [3 per cell]
B  0.5000  0.5000  0.5000 [1 per cell]

Results
energy relative to the lowest polymorph listed for this composition: 298 meV per atom
mass density: 8.161 Mg/m³
M_tot: 2.15 Bohr magnetons per cell
DOS(E_F): 3.7 states/eV/f.u.

This record from Alexandria via LeMat-Bulk describes an optimized crystal structure of Tb2HoTh. The functional is GGA-PBE.

a = 5.0186 Å, b = 5.0186 Å, c = 5.0364 Å
α = 90.00°, β = 90.00°, γ = 90.00°
Space group P4/mmm (No. 123)
Unique sites:
Tb  0.0000  0.5000  0.0000 [2 per cell]
Ho  0.0000  0.0000  0.5000 [1 per cell]
Th  0.5000  0.5000  0.5000 [1 per cell]

Results
energy relative to the lowest polymorph listed for this composition: 32 meV per atom
mass density: 9.357 Mg/m³
M_tot: 0.00 Bohr magnetons per cell
DOS(E_F): 5.6 states/eV/f.u.

This record from Alexandria via LeMat-Bulk describes an optimized crystal structure of LaNd2Mg. The functional is GGA-PBE.

a = 5.0483 Å, b = 5.0483 Å, c = 5.1153 Å
α = 90.00°, β = 90.00°, γ = 90.00°
Space group P4/mmm (No. 123)
Unique sites:
La  0.0000  0.0000  0.0000 [1 per cell]
Nd  0.0000  0.5000  0.5000 [2 per cell]
Mg  0.5000  0.5000  0.0000 [1 per cell]

Results
energy relative to the lowest polymorph listed for this composition: 36 meV per atom
mass density: 5.753 Mg/m³
M_tot: 0.00 Bohr magnetons per cell
DOS(E_F): 7.3 states/eV/f.u.

This record from Alexandria via LeMat-Bulk describes an optimized crystal structure of AcPa2O7. The functional is GGA-PBE.

a = 3.8389 Å, b = 3.8389 Å, c = 18.0846 Å
α = 90.00°, β = 90.00°, γ = 90.00°
Space group I4/mmm (No. 139)
Unique sites:
Ac  0.0000  0.0000  0.0000 [2 per cell]
Pa  0.0000  0.0000  0.3306 [4 per cell]
O  0.0000  0.0000  0.5000 [2 per cell]
O  0.0000  0.5000  0.1078 [8 per cell]
O  0.0000  0.5000  0.2500 [4 per cell]

Results
mass density: 9.982 Mg/m³
M_tot: 2.00 Bohr magnetons per cell
E_form (uncorrected): -3.355 eV per atom
DOS(E_F): 0.9 states/eV/f.u.

This record from Alexandria via LeMat-Bulk describes an optimized crystal structure of NbRe2AgI. The functional is GGA-PBE.

a = 4.9672 Å, b = 4.9672 Å, c = 5.1434 Å
α = 90.00°, β = 90.00°, γ = 90.00°
Space group P4/mmm (No. 123)
Unique sites:
Nb  0.0000  0.0000  0.0000 [1 per cell]
Re  0.0000  0.5000  0.5000 [2 per cell]
Ag  0.5000  0.5000  0.5000 [1 per cell]
I  0.5000  0.5000  0.0000 [1 per cell]

Results
mass density: 9.161 Mg/m³
M_tot: 3.01 Bohr magnetons per cell
E_form (uncorrected): 2.786 eV per atom
DOS(E_F): 4.4 states/eV/f.u.

This record from Alexandria via LeMat-Bulk describes an optimized crystal structure of SmGa4Pt6. The functional is GGA-PBE.

a = 6.7080 Å, b = 6.7080 Å, c = 9.3098 Å
α = 90.00°, β = 90.00°, γ = 90.00°
Space group I-42m (No. 121)
Unique sites:
Sm  0.0000  0.0000  0.0000 [2 per cell]
Ga  0.2035  0.2035  0.6726 [8 per cell]
Pt  0.0000  0.5000  0.0000 [4 per cell]
Pt  0.1617  0.1617  0.3906 [8 per cell]

Results
energy relative to the lowest polymorph listed for this composition: 264 meV per atom
mass density: 12.682 Mg/m³
M_tot: 0.00 Bohr magnetons per cell
DOS(E_F): 6.5 states/eV/f.u.

This record from Alexandria via LeMat-Bulk describes an optimized crystal structure of CaLa6Er. The functional is GGA-PBE.

a = 5.2571 Å, b = 5.2571 Å, c = 10.5210 Å
α = 90.00°, β = 90.00°, γ = 90.00°
Space group P4/mmm (No. 123)
Unique sites:
Ca  0.0000  0.0000  0.0000 [1 per cell]
La  0.0000  0.5000  0.2577 [4 per cell]
La  0.5000  0.5000  0.0000 [1 per cell]
La  0.5000  0.5000  0.5000 [1 per cell]
Er  0.0000  0.0000  0.5000 [1 per cell]

Results
mass density: 5.944 Mg/m³
electronic total energy: -4.488 eV/atom
M_tot: 0.00 Bohr magnetons per cell
DOS(E_F): 9.9 states/eV/f.u.